# PBE-GGA In2AgHgIr, relaxed
data_In2AgHgIr
_space_group_name_H-M_alt 'P 4/m m m'
_space_group_IT_number 123
_space_group_name_Hall '-P 4 2'
_cell_length_a 5.165
_cell_length_b 5.165
_cell_length_c 5.145
_cell_angle_alpha 90.00
_cell_angle_beta 90.00
_cell_angle_gamma 90.00
loop_
_atom_site_label
_atom_site_type_symbol
_atom_site_fract_x
_atom_site_fract_y
_atom_site_fract_z
_atom_site_occupancy
In1 In 0.000 0.500 0.000 1
Ag1 Ag 0.000 0.000 0.000 1
Hg1 Hg 0.000 0.000 0.500 1
Ir1 Ir 0.500 0.500 0.500 1
# Density of states at the Fermi level   0.907 states/eV/atom
# ΔH_f (0 K)   5.37 eV/f.u.
# Energy   -2.42 eV/atom

# PBE-GGA ZnInTc2P, relaxed
data_ZnInTc2P
_space_group_name_H-M_alt 'P 4/m m m'
_space_group_IT_number 123
_space_group_name_Hall '-P 4 2'
_cell_length_a 5.103
_cell_length_b 5.103
_cell_length_c 4.722
_cell_angle_alpha 90.00
_cell_angle_beta 90.00
_cell_angle_gamma 90.00
loop_
_atom_site_label
_atom_site_type_symbol
_atom_site_fract_x
_atom_site_fract_y
_atom_site_fract_z
_atom_site_occupancy
Zn1 Zn 0.000 0.000 0.000 1
In1 In 0.000 0.000 0.500 1
Tc1 Tc 0.000 0.500 0.500 1
P1 P 0.500 0.500 0.000 1
# Density of states at the Fermi level   1.019 states/eV/atom
# ΔH_f (0 K)   9.90 eV/f.u.
# Energy   -4.05 eV/atom

# PBE-GGA Ho7Pd2Rh2, relaxed
data_Ho7Pd2Rh2
_space_group_name_H-M_alt 'I m m 2'
_space_group_IT_number 44
_cell_length_a 3.834
_cell_length_b 15.006
_cell_length_c 9.390
_cell_angle_alpha 90.00
_cell_angle_beta 90.00
_cell_angle_gamma 90.00
loop_
_space_group_symop_operation_xyz
'x,y,z'
'-x,-y,z'
'-x,y,z'
'x,-y,z'
'x+1/2,y+1/2,z+1/2'
'-x+1/2,-y+1/2,z+1/2'
'-x+1/2,y+1/2,z+1/2'
'x+1/2,-y+1/2,z+1/2'
loop_
_atom_site_label
_atom_site_type_symbol
_atom_site_fract_x
_atom_site_fract_y
_atom_site_fract_z
_atom_site_occupancy
Ho1 Ho 0.000 0.000 0.000 1
Ho2 Ho 0.000 0.117 0.604 1
Ho3 Ho 0.000 0.312 0.395 1
Ho4 Ho 0.000 0.370 0.757 1
Pd1 Pd 0.000 0.000 0.357 1
Pd2 Pd 0.000 0.500 0.270 1
Rh1 Rh 0.000 0.239 0.101 1
# Excess energy over the best structure of this formula in the dataset   0.000 eV per atom
# Density of states at the Fermi level   0.877 states/eV/atom
# ΔH_f (0 K)   -7.57 eV/f.u.
# Energy   -5.88 eV/atom

# PBE-GGA NdGa4Ni12, relaxed
data_NdGa4Ni12
_space_group_name_H-M_alt 'I m -3'
_space_group_IT_number 204
_space_group_name_Hall '-I 2 2 3'
_cell_length_a 7.961
_cell_length_b 7.961
_cell_length_c 7.961
_cell_angle_alpha 90.00
_cell_angle_beta 90.00
_cell_angle_gamma 90.00
loop_
_atom_site_label
_atom_site_type_symbol
_atom_site_fract_x
_atom_site_fract_y
_atom_site_fract_z
_atom_site_occupancy
Nd1 Nd 0.000 0.000 0.000 1
Ga1 Ga 0.250 0.250 0.250 1
Ni1 Ni 0.000 0.149 0.357 1
# Density of states at the Fermi level   1.127 states/eV/atom
# ΔH_f (0 K)   3.76 eV/f.u.
# Energy   -4.85 eV/atom

# PBE-GGA Pr2UBeRh6, relaxed
data_Pr2UBeRh6
_space_group_name_H-M_alt 'F m -3 m'
_space_group_IT_number 225
_space_group_name_Hall '-F 4 2 3'
_cell_length_a 9.191
_cell_length_b 9.191
_cell_length_c 9.191
_cell_angle_alpha 90.00
_cell_angle_beta 90.00
_cell_angle_gamma 90.00
loop_
_atom_site_label
_atom_site_type_symbol
_atom_site_fract_x
_atom_site_fract_y
_atom_site_fract_z
_atom_site_occupancy
Pr1 Pr 0.250 0.250 0.250 1
U1 U 0.000 0.000 0.000 1
Be1 Be 0.000 0.000 0.500 1
Rh1 Rh 0.000 0.000 0.267 1
# Density of states at the Fermi level   0.479 states/eV/atom
# ΔH_f (0 K)   -4.04 eV/f.u.
# Energy   -7.27 eV/atom

# PBE-GGA LaGdP, relaxed
data_LaGdP
_space_group_name_H-M_alt 'F -4 3 m'
_space_group_IT_number 216
_space_group_name_Hall 'F -4 2 3'
_cell_length_a 6.890
_cell_length_b 6.890
_cell_length_c 6.890
_cell_angle_alpha 90.00
_cell_angle_beta 90.00
_cell_angle_gamma 90.00
loop_
_atom_site_label
_atom_site_type_symbol
_atom_site_fract_x
_atom_site_fract_y
_atom_site_fract_z
_atom_site_occupancy
La1 La 0.000 0.000 0.000 1
Gd1 Gd 0.000 0.000 0.500 1
P1 P 0.250 0.250 0.250 1
# Excess energy over the best structure of this formula in the dataset   0.100 eV per atom
# Density of states at the Fermi level   1.006 states/eV/atom
# ΔH_f (0 K)   -2.62 eV/f.u.
# Energy   -9.01 eV/atom

# PBE-GGA LiRuRh2, relaxed
data_LiRuRh2
_space_group_name_H-M_alt 'I -4 2 d'
_space_group_IT_number 122
_space_group_name_Hall 'I -4 2bw'
_cell_length_a 6.825
_cell_length_b 6.825
_cell_length_c 5.289
_cell_angle_alpha 90.00
_cell_angle_beta 90.00
_cell_angle_gamma 90.00
loop_
_atom_site_label
_atom_site_type_symbol
_atom_site_fract_x
_atom_site_fract_y
_atom_site_fract_z
_atom_site_occupancy
Li1 Li 0.000 0.000 0.000 1
Ru1 Ru 0.000 0.000 0.500 1
Rh1 Rh 0.231 0.250 0.625 1
# Excess energy over the best structure of this formula in the dataset   0.518 eV per atom
# Density of states at the Fermi level   0.772 states/eV/atom
# ΔH_f (0 K)   2.02 eV/f.u.
# Energy   -5.97 eV/atom

# PBE-GGA Ac2ErAg2O6, relaxed
data_Ac2ErAg2O6
_space_group_name_H-M_alt 'R -3 m'
_space_group_IT_number 166
_space_group_name_Hall '-R 3 2"'
_cell_length_a 6.3779
_cell_length_b 6.3779
_cell_length_c 16.7865
_cell_angle_alpha 90.00
_cell_angle_beta 90.00
_cell_angle_gamma 120.00
loop_
_atom_site_label
_atom_site_type_symbol
_atom_site_fract_x
_atom_site_fract_y
_atom_site_fract_z
_atom_site_occupancy
Ac1 Ac 0.0000 0.0000 0.2035 1
Er1 Er 0.0000 0.0000 0.0000 1
Ag1 Ag 0.0000 0.0000 0.4135 1
O1 O 0.0501 0.5250 0.7621 1
# ΔE_f (raw)   -194 kJ per mole of atoms
# Density of states at the Fermi level   0.944 states/eV/atom
# Energy   -6.39 eV/atom

# PBE-GGA TbNdCd4, relaxed
data_TbNdCd4
_space_group_name_H-M_alt 'F -4 3 m'
_space_group_IT_number 216
_space_group_name_Hall 'F -4 2 3'
_cell_length_a 8.431
_cell_length_b 8.431
_cell_length_c 8.431
_cell_angle_alpha 90.00
_cell_angle_beta 90.00
_cell_angle_gamma 90.00
loop_
_atom_site_label
_atom_site_type_symbol
_atom_site_fract_x
_atom_site_fract_y
_atom_site_fract_z
_atom_site_occupancy
Tb1 Tb 0.000 0.000 0.000 1
Nd1 Nd 0.250 0.250 0.750 1
Cd1 Cd 0.125 0.125 0.375 1
# Excess energy over the best structure of this formula in the dataset   0.051 eV per atom
# Density of states at the Fermi level   0.592 states/eV/atom
# ΔH_f (0 K)   -1.69 eV/f.u.
# Energy   -2.46 eV/atom

# PBE-GGA La2Ag3, relaxed
data_La2Ag3
_space_group_name_H-M_alt 'F d d 2'
_space_group_IT_number 43
_space_group_name_Hall 'F 2 -2d'
_cell_length_a 10.620
_cell_length_b 16.208
_cell_length_c 6.076
_cell_angle_alpha 90.00
_cell_angle_beta 90.00
_cell_angle_gamma 90.00
loop_
_atom_site_label
_atom_site_type_symbol
_atom_site_fract_x
_atom_site_fract_y
_atom_site_fract_z
_atom_site_occupancy
La1 La 0.078 0.303 0.000 1
Ag1 Ag 0.000 0.000 0.322 1
Ag2 Ag 0.072 0.378 0.493 1
# Excess energy over the best structure of this formula in the dataset   0.053 eV per atom
# Density of states at the Fermi level   1.104 states/eV/atom
# ΔH_f (0 K)   -1.06 eV/f.u.
# Energy   -3.89 eV/atom

# PBE-GGA CsPmCo2Cl8, relaxed
data_CsPmCo2Cl8
_space_group_name_H-M_alt 'C 1 2/m 1'
_space_group_IT_number 12
_cell_length_a 10.830
_cell_length_b 7.384
_cell_length_c 10.328
_cell_angle_alpha 90.00
_cell_angle_beta 96.84
_cell_angle_gamma 90.00
loop_
_space_group_symop_operation_xyz
'x,y,z'
'-x,-y,-z'
'-x,y,-z'
'x,-y,z'
'x+1/2,y+1/2,z'
'-x+1/2,-y+1/2,-z'
'-x+1/2,y+1/2,-z'
'x+1/2,-y+1/2,z'
loop_
_atom_site_label
_atom_site_type_symbol
_atom_site_fract_x
_atom_site_fract_y
_atom_site_fract_z
_atom_site_occupancy
Cs1 Cs 0.000 0.000 0.000 1
Pm1 Pm 0.000 0.000 0.500 1
Co1 Co 0.114 0.500 0.293 1
Cl1 Cl 0.012 0.252 0.697 1
Cl2 Cl 0.188 0.500 0.105 1
Cl3 Cl 0.247 0.500 0.481 1
# ΔE_f (raw)   -131 kJ per mole of atoms
# Energy   -4.24 eV/atom

# PBE-GGA Ta2BeRhW, relaxed
data_Ta2BeRhW
_space_group_name_H-M_alt 'P 4/m m m'
_space_group_IT_number 123
_space_group_name_Hall '-P 4 2'
_cell_length_a 4.392
_cell_length_b 4.392
_cell_length_c 4.131
_cell_angle_alpha 90.00
_cell_angle_beta 90.00
_cell_angle_gamma 90.00
loop_
_atom_site_label
_atom_site_type_symbol
_atom_site_fract_x
_atom_site_fract_y
_atom_site_fract_z
_atom_site_occupancy
Ta1 Ta 0.000 0.500 0.000 1
Be1 Be 0.000 0.000 0.000 1
Rh1 Rh 0.500 0.500 0.500 1
W1 W 0.000 0.000 0.500 1
# Density of states at the Fermi level   0.833 states/eV/atom
# ΔH_f (0 K)   2.69 eV/f.u.
# Energy   -9.01 eV/atom